{"formula": "ScCd2Pt", "functional": "SCAN", "state": "single point on PBEsol structure", "density_kg_m3": 9210, "final_energy_ev_per_cell": -146.9, "sg": "No. 160", "formation_energy_kj_per_mol_fu": -161, "lattice": [[1.7064, 0.9852, 8.3097], [-1.7064, 0.9852, 8.3097], [0.0000, -1.9704, 8.3097]], "species": ["Sc", "Cd", "Cd", "Pt"], "fractional_positions": [[0.0000, 0.0000, 0.0000], [0.2369, 0.2369, 0.2369], [0.4805, 0.4805, 0.4805], [0.7327, 0.7327, 0.7327]]}

{"formula": "YMgTl2", "functional": "SCAN", "state": "single point on PBEsol structure", "density_kg_m3": 8766, "final_energy_ev_per_cell": -179.1, "sg": "No. 139", "formation_energy_kj_per_mol_fu": -155, "lattice": [[-2.5353, 2.5353, 3.8455], [2.5353, -2.5353, 3.8455], [2.5353, 2.5353, -3.8455]], "species": ["Y", "Mg", "Tl", "Tl"], "fractional_positions": [[0.0000, 0.0000, 0.0000], [0.5000, 0.5000, 0.0000], [0.2500, 0.7500, 0.5000], [0.7500, 0.2500, 0.5000]]}

{"formula": "La2CdHg", "functional": "SCAN", "state": "single point on PBEsol structure", "density_kg_m3": 8897, "final_energy_ev_per_cell": -186.8, "polymorph_energy_ev_per_fu": 0.27, "sg": "No. 44", "formation_energy_kj_per_mol_fu": -193, "lattice": [[-1.9345, 2.6245, 5.4297], [1.9345, -2.6245, 5.4297], [1.9345, 2.6245, -5.4297]], "species": ["La", "La", "Cd", "Hg"], "fractional_positions": [[0.0000, 0.0000, 0.0000], [0.7249, 0.2249, 0.5000], [0.2663, 0.7663, 0.5000], [0.4691, 0.4691, 0.0000]]}

{"formula": "ZnInIr2", "functional": "SCAN", "state": "single point on PBEsol structure", "density_kg_m3": 15179, "final_energy_ev_per_cell": -188.2, "sg": "No. 216", "formation_energy_kj_per_mol_fu": 89, "lattice": [[0.0000, 3.1375, 3.1375], [3.1375, 0.0000, 3.1375], [3.1375, 3.1375, 0.0000]], "species": ["Zn", "In", "Ir", "Ir"], "fractional_positions": [[0.0000, 0.0000, 0.0000], [0.2500, 0.2500, 0.2500], [0.5000, 0.5000, 0.5000], [0.7500, 0.7500, 0.7500]]}

{"formula": "Pm3Y", "functional": "SCAN", "state": "single point on PBEsol structure", "density_kg_m3": 6859, "final_energy_ev_per_cell": -159.7, "polymorph_energy_ev_per_fu": 0.01, "sg": "No. 139", "formation_energy_kj_per_mol_fu": 7, "lattice": [[-2.5144, 2.5144, 5.0157], [2.5144, -2.5144, 5.0157], [2.5144, 2.5144, -5.0157]], "species": ["Pm", "Pm", "Pm", "Y"], "fractional_positions": [[0.0000, 0.0000, 0.0000], [0.2500, 0.7500, 0.5000], [0.7500, 0.2500, 0.5000], [0.5000, 0.5000, 0.0000]]}

{"formula": "Sc3HIr", "functional": "SCAN", "state": "single point on PBEsol structure", "density_kg_m3": 7138, "final_energy_ev_per_cell": -120.0, "sg": "No. 221", "lattice": [[4.2418, 0.0000, 0.0000], [0.0000, 4.2418, 0.0000], [0.0000, 0.0000, 4.2418]], "species": ["Sc", "Sc", "Sc", "H", "Ir"], "fractional_positions": [[0.0000, 0.0000, 0.5000], [0.0000, 0.5000, 0.0000], [0.5000, 0.0000, 0.0000], [0.0000, 0.0000, 0.0000], [0.5000, 0.5000, 0.5000]]}

{"formula": "SrGaSeN2", "functional": "SCAN", "state": "single point on PBEsol structure", "density_kg_m3": 5056, "final_energy_ev_per_cell": -76.6, "sg": "No. 123", "raw_formation_energy_kj_per_mol_atoms": 12.44, "lattice": [[4.1244, 0.0000, 0.0000], [0.0000, 4.1244, 0.0000], [0.0000, 0.0000, 5.1036]], "species": ["Sr", "Ga", "Se", "N", "N"], "fractional_positions": [[0.0000, 0.0000, 0.0000], [0.5000, 0.5000, 0.5000], [0.5000, 0.5000, 0.0000], [0.0000, 0.5000, 0.5000], [0.5000, 0.0000, 0.5000]]}

{"formula": "BaAgSn", "functional": "SCAN", "state": "single point on PBEsol structure", "density_kg_m3": 7021, "final_energy_ev_per_cell": -217.2, "sg": "No. 44", "formation_energy_kj_per_mol_fu": -170, "lattice": [[-2.5071, 4.0396, 4.2490], [2.5071, -4.0396, 4.2490], [2.5071, 4.0396, -4.2490]], "species": ["Ba", "Ba", "Ag", "Ag", "Sn", "Sn"], "fractional_positions": [[0.0000, 0.0000, 0.0000], [0.5843, 0.0843, 0.5000], [0.1704, 0.3776, 0.7928], [0.5848, 0.3776, 0.2072], [0.0205, 0.7099, 0.3105], [0.3994, 0.7099, 0.6895]]}

{"formula": "LiCoPO4", "functional": "SCAN", "state": "single point on PBEsol structure", "density_kg_m3": 2751, "final_energy_ev_per_cell": -140.2, "polymorph_energy_ev_per_fu": 0.51, "sg": "No. 9", "raw_formation_energy_kj_per_mol_atoms": -207.92, "lattice": [[2.5322, -4.4857, 0.0000], [2.5322, 4.4857, 0.0000], [-0.0651, 0.0000, 8.5470]], "species": ["Li", "Li", "Co", "Co", "P", "P", "O", "O", "O", "O", "O", "O", "O", "O"], "fractional_positions": [[0.1718, 0.8282, 0.5000], [0.8282, 0.1718, 0.0000], [0.3122, 0.6662, 0.1913], [0.6662, 0.3122, 0.6913], [0.3190, 0.6470, 0.8187], [0.6470, 0.3190, 0.3187], [0.0941, 0.6309, 0.6915], [0.1535, 0.5762, 0.9791], [0.4003, 0.4040, 0.7898], [0.4040, 0.4003, 0.2898], [0.5762, 0.1535, 0.4791], [0.6059, 0.9686, 0.8203], [0.6309, 0.0941, 0.1915], [0.9686, 0.6059, 0.3203]]}

{"formula": "MnTePb2", "functional": "SCAN", "state": "single point on PBEsol structure", "density_kg_m3": 9598, "final_energy_ev_per_cell": -207.1, "sg": "No. 6", "raw_formation_energy_kj_per_mol_atoms": -0.66, "lattice": [[4.2560, 0.0000, 0.0000], [0.0000, 3.8645, 0.0000], [-2.1171, 0.0000, 6.2790]], "species": ["Mn", "Te", "Pb", "Pb"], "fractional_positions": [[0.0000, 0.0000, 0.0000], [0.8515, 0.5000, 0.6935], [0.2323, 0.0000, 0.4553], [0.5564, 0.5000, 0.1117]]}

What is the formula in the eighth record? BaAgSn

What is the formula in the sixth record? Sc3HIr